VASP calculation (PBE-GGA) on crystalline Ba3Sb at its relaxed geometry.

Lattice parameters (Å, degrees): 4.896 4.896 9.103 90.00 90.00 90.00
Fractional coordinates of all 4 atoms:
Ba1 0.000 0.000 0.000
Ba2 0.000 0.500 0.673
Ba3 0.500 0.000 0.327
Sb1 0.500 0.500 0.000

raw formation energy: -0.420 eV per atom
magnetic moment: 0.414 μB/cell
SG: No. 115
energy relative to the lowest polymorph listed for this composition: 0.185 eV/atom

VASP calculation (PBE-GGA) on crystalline PaOsPt at its relaxed geometry.

Lattice parameters (Å, degrees): 4.395 4.395 3.650 90.00 90.00 120.00
Fractional coordinates of all 3 atoms:
Pa1 0.000 0.000 0.000
Os1 0.667 0.333 0.500
Pt1 0.333 0.667 0.500

energy of formation from the pure elements: -0.32 eV/atom
magnetic moment: 0.000 μB/cell
SG: No. 187
energy relative to the lowest polymorph listed for this composition: 0.202 eV/atom

VASP calculation (PBE-GGA) on crystalline Ce4Pr3TmSe8 at its relaxed geometry.

Lattice parameters (Å, degrees): 8.423 8.423 8.423 59.87 59.87 59.87
Fractional coordinates of all 16 atoms:
Ce1 0.000 0.000 0.000
Ce2 0.000 0.500 0.500
Ce3 0.500 0.000 0.500
Ce4 0.500 0.500 0.000
Pr1 0.000 0.000 0.500
Pr2 0.000 0.500 0.000
Pr3 0.500 0.000 0.000
Tm1 0.500 0.500 0.500
Se1 0.252 0.252 0.252
Se2 0.257 0.257 0.740
Se3 0.257 0.740 0.257
Se4 0.260 0.743 0.743
Se5 0.740 0.257 0.257
Se6 0.743 0.260 0.743
Se7 0.743 0.743 0.260
Se8 0.748 0.748 0.748

raw formation energy: -1.810 eV per atom
magnetic moment: 3.911 μB/cell
SG: No. 166

VASP calculation (PBE-GGA) on crystalline Na12Cd2Hg at its relaxed geometry.

Lattice parameters (Å, degrees): 6.706 6.706 24.354 90.00 90.00 90.00
Fractional coordinates of all 30 atoms:
Na1 0.000 0.000 0.085
Na2 0.000 0.000 0.915
Na3 0.000 0.500 0.085
Na4 0.000 0.500 0.915
Na5 0.070 0.570 0.433
Na6 0.070 0.930 0.567
Na7 0.250 0.250 0.191
Na8 0.250 0.250 0.321
Na9 0.250 0.250 0.679
Na10 0.250 0.250 0.809
Na11 0.430 0.570 0.567
Na12 0.430 0.930 0.433
Na13 0.500 0.000 0.085
Na14 0.500 0.000 0.915
Na15 0.500 0.500 0.085
Na16 0.500 0.500 0.915
Na17 0.570 0.070 0.567
Na18 0.570 0.430 0.433
Na19 0.750 0.750 0.191
Na20 0.750 0.750 0.321
Na21 0.750 0.750 0.679
Na22 0.750 0.750 0.809
Na23 0.930 0.070 0.433
Na24 0.930 0.430 0.567
Cd1 0.250 0.750 0.194
Cd2 0.250 0.750 0.806
Cd3 0.750 0.250 0.194
Cd4 0.750 0.250 0.806
Hg1 0.250 0.750 0.000
Hg2 0.750 0.250 0.000

energy of formation from the pure elements: 0.06 eV/atom
magnetic moment: 0.000 μB/cell
SG: No. 125